5
Lattice="5.027 0.000 0.000 0.000 6.117 0.000 0.000 0.000 5.027" Properties=species:S:1:pos:R:3 comment="SrSiSnP2 | Alexandria | PBE-GGA | optimized geometry" raw_formation_energy_ev_per_fu=4.46 dft_energy_ev_per_atom=-3.493 rho_g_cm3=3.18 pbc="T T T"
Sr 0.000 3.059 0.000
Si 2.514 3.059 2.514
Sn 0.000 0.000 0.000
P 0.000 0.000 2.514
P 2.514 0.000 0.000